## NaMnCd2O4 (PBE with a Hubbard U)

Data for NaMnCd2O4 after structural relaxation.

a = 5.601 Å, b = 5.601 Å, c = 5.364 Å
α = 121.47°, β = 121.47°, γ = 90.00°
Last column: magnetic moment on the atom in μB.
Fractional coordinates of all 8 atoms:
O 0.622 0.622 0.797  0.00
O 0.378 0.826 0.203  0.00
Na 0.000 0.000 0.000  0.01
Cd 0.750 0.250 0.500  0.01
Mn 0.500 0.500 0.000  3.81
Cd 0.250 0.750 0.500  0.01
O 0.826 0.378 0.203  0.00
O 0.174 0.174 0.797  0.00

Computed properties:
Uncorrected energy, eV/f.u.: -40.3
Size of the total moment, μB/atom: 0.50
Space-group type: I-42m